Ta2Ti5Nb2 | GGA-PBE | relaxed

Structure (CIF):
```
data_Ta2Ti5Nb2
_chemical_formula_sum 'Ta2 Ti5 Nb2'
_space_group_name_H-M_alt 'P 1'
_space_group_IT_number 1
_cell_length_a 2.839
_cell_length_b 8.029
_cell_length_c 7.155
_cell_angle_alpha 78.09
_cell_angle_beta 83.92
_cell_angle_gamma 91.09
loop_
_space_group_symop_operation_xyz
'x,y,z'
loop_
_atom_site_label
_atom_site_fract_x
_atom_site_fract_y
_atom_site_fract_z
_atom_site_occupancy
Nb1 0.647 0.330 0.001 1
Ti1 0.543 0.767 0.340 1
Nb2 0.353 0.670 0.999 1
Ta1 0.258 0.107 0.334 1
Ta2 0.742 0.893 0.666 1
Ti2 0.045 0.556 0.673 1
Ti3 0.457 0.233 0.660 1
Ti4 0.955 0.444 0.327 1
Ti5 0.000 0.000 0.000 1
```

Results
symmetry = P-1, No. 2
N(E_F) = 15.374 states/eV/cell
total DFT energy (no corrections) = -9.212 eV per atom
formation energy = 0.046 eV per atom